{
  "formula": "Sc2TlPb",
  "functional": "GGA-PBEsol",
  "state": "optimized geometry",
  "vol_a3_per_cell": 91.04,
  "de_polymorph_ev_per_atom": 0.0315,
  "formation_energy_ev_per_atom": -0.36,
  "mass_density_g_cm3": 9.1,
  "total_energy_ev_per_cell": -21.30,
  "lattice_angstrom": [[-0.430, -4.423, 1.311], [3.310, 2.986, 2.974], [-1.677, 1.377, 4.094]],
  "species": ["Pb", "Sc", "Sc", "Tl"],
  "fractional_positions": [[0.000, 0.000, 0.000], [0.750, 0.500, 0.750], [0.250, 0.500, 0.250], [0.500, 0.000, 0.500]]
}